Sc2NbFeO | PBE+U | optimized geometry

Computed properties:
- SG = P4/mmm (123)
- VASP energy (eV/atom) = -7.446

Cell: 4.3140 4.3800 4.3140 Å, 90.00 90.00 90.00°
Closest atoms and distances in Å follow each position.
Fractional positions:
Nb  0.0000  0.5000  0.0000  2 O 2.19
Fe  0.5000  0.5000  0.5000  4 Nb 3.05, 8 Sc 3.07
Sc  0.0000  0.0000  0.5000  2 O 2.16
Sc  0.5000  0.0000  0.0000  2 O 2.16
O  0.0000  0.0000  0.0000  4 Sc 2.16, 2 Nb 2.19